[1]
! ScSi2Hg | Alexandria via LeMat-Bulk | PBEsol | relaxed; values from VASP
&SYSTEM
  ibrav = 0, nat = 4, ntyp = 3
/
ATOMIC_SPECIES
Si 28.09 Si.upf
Hg 200.59 Hg.upf
Sc 44.96 Sc.upf
CELL_PARAMETERS angstrom
3.8701 0.0000 0.0000
0.0000 3.8711 -0.1551
-1.9351 -1.7457 4.6352
ATOMIC_POSITIONS angstrom
Si 1.9351 0.0995 2.2772
Hg 0.0000 0.1869 4.5561
Si 0.0000 3.8663 -0.1523
Sc 0.0000 2.0336 2.2017
! - raw formation energy (eV/atom) = -0.250
! - space-group type = No. 8
! - E_tot (hartree per atom) = -0.18067
! - D(E_F) (states/eV/atom) = 0.374
! - crystal system = monoclinic

[2]
! LiCa2Au | Alexandria via LeMat-Bulk | PBEsol | relaxed; values from VASP
&SYSTEM
  ibrav = 0, nat = 4, ntyp = 3
/
ATOMIC_SPECIES
Ca 40.08 Ca.upf
Au 196.97 Au.upf
Li 6.94 Li.upf
CELL_PARAMETERS angstrom
-1.7444 2.1170 3.2750
-2.3613 -3.5332 1.0261
4.9826 -2.8360 1.7009
ATOMIC_POSITIONS angstrom
Ca 0.9089 -0.3931 0.7382
Ca 2.0844 -3.1786 3.1649
Au -0.5445 -1.3604 3.3756
Li 1.6780 -0.0444 3.7088
! - space-group type = No. 38
! - formation enthalpy at 0 K (eV/f.u.) = -1.7
! - E_tot (hartree per atom) = -0.10861
! - D(E_F) (states/eV/atom) = 0.702
! - crystal system = orthorhombic

[3]
! MgCdC3 | Alexandria via LeMat-Bulk | PBEsol | relaxed; values from VASP
&SYSTEM
  ibrav = 0, nat = 5, ntyp = 3
/
ATOMIC_SPECIES
C 12.01 C.upf
Cd 112.41 Cd.upf
Mg 24.30 Mg.upf
CELL_PARAMETERS angstrom
4.2464 0.0000 0.0000
0.0000 4.2464 0.0000
0.0000 0.0000 4.2464
ATOMIC_POSITIONS angstrom
C 2.1232 0.0000 0.0000
Cd 0.0000 0.0000 0.0000
C 0.0000 0.0000 2.1232
C 0.0000 2.1232 0.0000
Mg 2.1232 2.1232 2.1232
! - space-group type = No. 221
! - formation enthalpy at 0 K (eV/f.u.) = 14.8
! - E_tot (hartree per atom) = -0.12502
! - D(E_F) (states/eV/atom) = 0.804
! - crystal system = cubic

[4]
! Tc2PtW | Alexandria via LeMat-Bulk | PBEsol | relaxed; values from VASP
&SYSTEM
  ibrav = 0, nat = 4, ntyp = 3
/
ATOMIC_SPECIES
Tc 98.00 Tc.upf
W 183.84 W.upf
Pt 195.08 Pt.upf
CELL_PARAMETERS angstrom
-2.1694 -2.9226 -1.3482
2.6697 -2.5421 1.2148
-2.0349 2.4858 3.4729
ATOMIC_POSITIONS angstrom
Tc 0.0000 0.0000 0.0000
Tc -1.9771 -1.5846 1.0290
W 0.2502 -2.7323 -0.0667
Pt 0.4425 -1.3943 2.3105
! - space-group type = No. 119
! - formation enthalpy at 0 K (eV/f.u.) = -0.6
! - E_tot (hartree per atom) = -0.40331
! - D(E_F) (states/eV/atom) = 0.726
! - crystal system = tetragonal

[5]
! Ca2ZnAs | Alexandria via LeMat-Bulk | PBEsol | relaxed; values from VASP
&SYSTEM
  ibrav = 0, nat = 4, ntyp = 3
/
ATOMIC_SPECIES
As 74.92 As.upf
Ca 40.08 Ca.upf
Zn 65.41 Zn.upf
CELL_PARAMETERS angstrom
-1.6472 -1.3962 -2.7155
-1.4805 -2.7333 2.3033
-5.4208 3.9820 1.2409
ATOMIC_POSITIONS angstrom
As -4.2743 -0.0737 0.4144
Ca -3.9983 2.9371 0.9153
Zn -1.5639 -2.0647 -0.2061
Ca -1.4225 1.0449 0.3256
! - space-group type = No. 47
! - formation enthalpy at 0 K (eV/f.u.) = -2.6
! - E_tot (hartree per atom) = -0.12438
! - D(E_F) (states/eV/atom) = 0.229
! - crystal system = orthorhombic

[6]
! KNdTiO4 | Alexandria via LeMat-Bulk | PBEsol | relaxed; values from VASP
&SYSTEM
  ibrav = 0, nat = 28, ntyp = 4
/
ATOMIC_SPECIES
O 16.00 O.upf
Ti 47.87 Ti.upf
Nd 144.24 Nd.upf
K 39.10 K.upf
CELL_PARAMETERS angstrom
-4.0514 0.8172 3.4191
-2.2343 -4.6903 -1.5265
6.7464 -6.3060 9.5013
ATOMIC_POSITIONS angstrom
O -1.0379 -2.2094 3.5058
O -0.6504 -0.4175 1.4328
Ti -1.5287 -6.0644 1.7418
O 1.0671 -3.3459 8.3755
Nd 1.8570 -7.4515 10.2927
O -1.5948 -4.2470 5.4366
O 1.1111 -9.7615 9.9610
O 4.7392 -6.1245 7.0795
K -0.1759 -5.5313 7.4249
O -0.6065 -6.8332 3.0184
O 2.0555 -5.9320 5.9573
Ti -2.4556 -3.3492 4.2021
K 0.6366 -4.6478 3.9690
Ti 1.9894 -4.1147 9.6521
O 3.5243 -8.3783 6.1785
O 1.4986 -7.9697 7.8881
Nd -1.3963 -2.7276 1.1012
Nd 2.8308 -10.0681 7.8645
K 0.7848 -8.1756 4.9877
O 0.9878 -2.6180 1.7962
O -2.2528 -4.4631 2.6048
O 2.7135 -5.7159 8.7890
O 4.0674 -8.2167 8.8872
O -3.6067 -1.9623 2.5067
O -0.2271 -4.8717 0.8953
Ti 2.9163 -6.8299 7.1918
K -0.3241 -2.0035 6.4062
Nd -2.3701 -0.1109 3.5293
! - raw formation energy (eV/atom) = -2.998
! - space-group type = No. 57
! - E_tot (hartree per atom) = -0.29718
! - D(E_F) (states/eV/atom) = 0.000
! - crystal system = orthorhombic

[7]
! PRuNF2 | Alexandria via LeMat-Bulk | PBEsol | relaxed; values from VASP
&SYSTEM
  ibrav = 0, nat = 5, ntyp = 4
/
ATOMIC_SPECIES
F 19.00 F.upf
N 14.01 N.upf
Ru 101.07 Ru.upf
P 30.97 P.upf
CELL_PARAMETERS angstrom
-0.4909 -2.4145 -2.0993
4.2733 -0.1850 -0.7865
0.4667 -2.8907 3.2155
ATOMIC_POSITIONS angstrom
F 2.1366 -0.0925 -0.3932
F 0.2333 -1.4453 1.6078
N -0.2455 -1.2072 -1.0497
Ru 2.1245 -2.7451 0.1649
P 0.0000 0.0000 0.0000
! - raw formation energy (eV/atom) = 0.311
! - space-group type = No. 123
! - E_tot (hartree per atom) = -0.19690
! - D(E_F) (states/eV/atom) = 0.688
! - crystal system = tetragonal

[8]
! MgMo2P | Alexandria via LeMat-Bulk | PBEsol | relaxed; values from VASP
&SYSTEM
  ibrav = 0, nat = 4, ntyp = 3
/
ATOMIC_SPECIES
Mg 24.30 Mg.upf
Mo 95.94 Mo.upf
P 30.97 P.upf
CELL_PARAMETERS angstrom
4.3316 0.0000 0.0000
2.1658 3.7513 0.0000
2.1658 1.2504 3.5367
ATOMIC_POSITIONS angstrom
Mg 4.3316 2.5008 1.7684
Mo 0.0000 0.0000 0.0000
P 2.1658 1.2504 0.8842
Mo 6.4974 3.7513 2.6525
! - space-group type = No. 216
! - formation enthalpy at 0 K (eV/f.u.) = 0.6
! - E_tot (hartree per atom) = -0.28001
! - D(E_F) (states/eV/atom) = 0.435
! - crystal system = cubic